The following is a PBE calculation of a relaxed structure of Cs2Tl3Pd3, from the Alexandria database.

Unit cell a=3.6797 b=8.9194 c=14.3358 alpha=90.00 beta=90.00 gamma=101.90
With the nearest neighbours (Å) after each atom.
Element x y z (fractional)
Cs: 0.7351 0.4702 0.6221  4 Pd 3.62-3.75, 5 Cs 3.67-3.99, 4 Tl 3.79-3.83
Cs: 0.2649 0.5298 0.1221  4 Pd 3.62-3.75, 5 Cs 3.67-3.99, 4 Tl 3.79-3.83
Cs: 0.7351 0.4702 0.8779  4 Pd 3.62-3.75, 5 Cs 3.67-3.99, 4 Tl 3.79-3.83
Cs: 0.2649 0.5298 0.3779  4 Pd 3.62-3.75, 5 Cs 3.67-3.99, 4 Tl 3.79-3.83
Tl: 0.5792 0.1585 0.0624  5 Pd 2.78-2.93
Tl: 0.4208 0.8415 0.5624  5 Pd 2.78-2.93
Tl: 0.5792 0.1585 0.4376  5 Pd 2.78-2.93
Tl: 0.4208 0.8415 0.9376  5 Pd 2.78-2.93
Tl: 0.4575 0.9151 0.2500  5 Pd 2.85-2.93
Tl: 0.5425 0.0849 0.7500  5 Pd 2.85-2.93
Pd: 0.9507 0.9013 0.0916  6 Tl 2.92-2.93, 1 Pd 3.14
Pd: 0.0493 0.0987 0.5916  6 Tl 2.92-2.93, 1 Pd 3.14
Pd: 0.9507 0.9013 0.4084  6 Tl 2.92-2.93, 1 Pd 3.14
Pd: 0.0493 0.0987 0.9084  6 Tl 2.92-2.93, 1 Pd 3.14
Pd: 0.6205 0.2411 0.2500  3 Tl 2.78-2.85
Pd: 0.3795 0.7589 0.7500  3 Tl 2.78-2.85

The following is a PBE calculation of a relaxed structure of Cs3Tl4Pd, from the Alexandria database.

Unit cell a=6.9191 b=6.8076 c=15.3820 alpha=90.00 beta=90.00 gamma=90.00
With the nearest neighbours (Å) after each atom.
Element x y z (fractional)
Cs: 0.4814 0.0000 0.0000  2 Pd 3.58, 8 Tl 3.75-3.97
Cs: 0.5186 0.5000 0.5000  2 Pd 3.58, 8 Tl 3.75-3.97
Cs: 0.7940 0.5000 0.7666  1 Pd 3.74, 4 Tl 3.86-4.17
Cs: 0.7940 0.5000 0.2334  1 Pd 3.74, 4 Tl 3.86-4.17
Cs: 0.2060 0.0000 0.7334  1 Pd 3.74, 4 Tl 3.86-4.17
Cs: 0.2060 0.0000 0.2666  1 Pd 3.74, 4 Tl 3.86-4.17
Tl: 0.3101 0.5000 0.8911  1 Pd 2.84
Tl: 0.3101 0.5000 0.1089  1 Pd 2.84
Tl: 0.9683 0.2423 0.0000  1 Pd 2.86
Tl: 0.9683 0.7577 0.0000  1 Pd 2.86
Tl: 0.0317 0.7423 0.5000  1 Pd 2.86
Tl: 0.0317 0.2577 0.5000  1 Pd 2.86
Tl: 0.6899 0.0000 0.3911  1 Pd 2.84
Tl: 0.6899 0.0000 0.6089  1 Pd 2.84
Pd: 0.6421 0.5000 0.0000  4 Tl 2.84-2.86
Pd: 0.3579 0.0000 0.5000  4 Tl 2.84-2.86

ΔE to the lowest computed polymorph (meV/atom): 0

| no. | E (eV per atom) | formation enthalpy at 0 K (eV/atom) |
| --- | --- | --- |
| 1 | -3.049 | -0.001 |
| 2 | -2.235 | -0.083 |